The following is a DFT calculation (PBE) of crystalline InGeO2F at its relaxed geometry. Values from VASP.

Summary:
Space group   P4/mmm

The structure in Quantum ESPRESSO input format:
```
&SYSTEM
  ibrav = 0, nat = 5, ntyp = 4
/
ATOMIC_SPECIES
Ge 72.64 Ge.upf
F 19.00 F.upf
O 16.00 O.upf
In 114.82 In.upf
ATOMIC_POSITIONS crystal
Ge 0.5000 0.5000 0.5000
F 0.0000 0.0000 0.5000
O 0.0000 0.5000 0.0000
O 0.5000 0.0000 0.0000
In 0.0000 0.0000 0.0000
CELL_PARAMETERS angstrom
-3.8474 0.1213 -1.6868
1.5064 -1.6591 -3.5554
-0.7589 -3.8112 1.4569
```

***

The following is a DFT calculation (PBE) of crystalline InGeO2F at its relaxed geometry. Values from VASP.

Summary:
Space group   P4/mmm

The structure in Quantum ESPRESSO input format:
```
&SYSTEM
  ibrav = 0, nat = 5, ntyp = 4
/
ATOMIC_SPECIES
Ge 72.64 Ge.upf
F 19.00 F.upf
O 16.00 O.upf
In 114.82 In.upf
ATOMIC_POSITIONS crystal
Ge 0.0000 0.0000 0.0000
F 0.0000 0.0000 0.5000
O 0.0000 0.5000 0.0000
O 0.5000 0.0000 0.0000
In 0.5000 0.5000 0.5000
CELL_PARAMETERS angstrom
3.8718 0.0000 0.0000
0.0000 3.8718 0.0000
0.0000 0.0000 4.3026
```

***

The following is a DFT calculation (PBE) of crystalline RbInGe2F6 at its relaxed geometry. Values from VASP.

Summary:
Space group   C2/c

The structure in Quantum ESPRESSO input format:
```
&SYSTEM
  ibrav = 0, nat = 20, ntyp = 4
/
ATOMIC_SPECIES
Rb 85.47 Rb.upf
In 114.82 In.upf
Ge 72.64 Ge.upf
F 19.00 F.upf
ATOMIC_POSITIONS crystal
Rb 0.1293 0.8707 0.2500
Rb 0.8707 0.1293 0.7500
In 0.6203 0.3797 0.2500
In 0.3797 0.6203 0.7500
Ge 0.3826 0.1532 0.7348
Ge 0.8468 0.6174 0.7652
Ge 0.6174 0.8468 0.2652
Ge 0.1532 0.3826 0.2348
F 0.9298 0.4266 0.1939
F 0.5734 0.0702 0.3061
F 0.0702 0.5734 0.8061
F 0.4266 0.9298 0.6939
F 0.2062 0.0668 0.9100
F 0.9332 0.7938 0.5900
F 0.7938 0.9332 0.0900
F 0.0668 0.2062 0.4100
F 0.2301 0.5743 0.4142
F 0.4257 0.7699 0.0858
F 0.7699 0.4257 0.5858
F 0.5743 0.2301 0.9142
CELL_PARAMETERS angstrom
7.8027 -0.9243 0.7142
-1.8726 7.6309 0.7142
-0.9789 -1.1070 7.0622
```

***

Table of energy relative to the elements, uncorrected (eV per atom), in record order: -1.056 -1.216 -2.216